# 1
# CsCa2As2 | Alexandria via LeMat-Bulk | GGA-PBEsol | relaxed
data_CsCa2As2
_symmetry_space_group_name_H-M 'P 1'
_symmetry_Int_Tables_number 1
_cell_length_a 5.135
_cell_length_b 5.135
_cell_length_c 6.920
_cell_angle_alpha 111.78
_cell_angle_beta 111.78
_cell_angle_gamma 90.00
loop_
_symmetry_equiv_pos_as_xyz
'x,y,z'
loop_
_atom_site_label
_atom_site_type_symbol
_atom_site_fract_x
_atom_site_fract_y
_atom_site_fract_z
As1 As 0.624 0.624 0.248
As2 As 0.376 0.376 0.752
Cs1 Cs 0.000 0.000 0.000
Ca1 Ca 0.750 0.250 0.500
Ca2 Ca 0.250 0.750 0.500
# Magnetization = 0.0 μB/f.u.
# Total energy = -19.1 eV/cell
# V = 155.4 Å³/cell

***

# 2
# Cs2CaAs | Alexandria via LeMat-Bulk | GGA-PBEsol | relaxed
data_Cs2CaAs
_symmetry_space_group_name_H-M 'P 1'
_symmetry_Int_Tables_number 1
_cell_length_a 6.078
_cell_length_b 6.078
_cell_length_c 6.078
_cell_angle_alpha 60.00
_cell_angle_beta 60.00
_cell_angle_gamma 60.00
loop_
_symmetry_equiv_pos_as_xyz
'x,y,z'
loop_
_atom_site_label
_atom_site_type_symbol
_atom_site_fract_x
_atom_site_fract_y
_atom_site_fract_z
As1 As 0.500 0.500 0.500
Ca1 Ca 0.000 0.000 0.000
Cs1 Cs 0.250 0.250 0.250
Cs2 Cs 0.750 0.750 0.750
# Magnetization = 0.0 μB/f.u.
# Total energy = -8.7 eV/cell
# V = 158.8 Å³/cell

***

# 3
# Cs3CaAs | Alexandria via LeMat-Bulk | GGA-PBEsol | relaxed
data_Cs3CaAs
_symmetry_space_group_name_H-M 'P 1'
_symmetry_Int_Tables_number 1
_cell_length_a 7.248
_cell_length_b 7.248
_cell_length_c 7.248
_cell_angle_alpha 90.00
_cell_angle_beta 90.00
_cell_angle_gamma 90.00
loop_
_symmetry_equiv_pos_as_xyz
'x,y,z'
loop_
_atom_site_label
_atom_site_type_symbol
_atom_site_fract_x
_atom_site_fract_y
_atom_site_fract_z
Cs1 Cs 0.500 0.000 0.000
Cs2 Cs 0.000 0.500 0.000
Cs3 Cs 0.000 0.000 0.500
Ca1 Ca 0.000 0.000 0.000
As1 As 0.500 0.500 0.500
# Magnetization = 0.0 μB/f.u.
# Total energy = -6.1 eV/cell
# V = 380.7 Å³/cell

***

| no. | density of states at the Fermi level (states/eV/atom) |
| --- | --- |
| 1 | 0.6856 |
| 2 | 0.4354 |
| 3 | 1.5682 |